[1]
Density functional theory data (PBE) for a relaxed AcNdPt3 crystal.

abc: 4.3820 4.1051 13.8768
angles: 98.51 90.00 90.00
Fractional coordinates of all 10 atoms:
Ac 0.2500 0.0739 0.1477
Ac 0.7500 0.9261 0.8523
Nd 0.2500 0.7940 0.5880
Nd 0.7500 0.2060 0.4120
Pt 0.2500 0.3758 0.7515
Pt 0.7500 0.6242 0.2485
Pt 0.2500 0.4720 0.9439
Pt 0.7500 0.5280 0.0561
Pt 0.7500 0.3140 0.6281
Pt 0.2500 0.6860 0.3719

## Properties
The value obtained for the total moment is 0.00 μB per atom. The space group is No. 63. As for the crystal system: orthorhombic.

=====

[2]
Density functional theory data (PBE) for a relaxed Ac2ZnPb2Au4 crystal.

abc: 6.8860 6.8860 6.8860
angles: 91.74 119.00 119.00
Fractional coordinates of all 9 atoms:
Ac 0.5000 0.7500 0.2500
Ac 0.5000 0.2500 0.7500
Zn 0.0000 0.0000 0.0000
Pb 0.0000 0.6921 0.6921
Pb 0.0000 0.3079 0.3079
Au 0.0000 0.7394 0.2606
Au 0.4788 0.7394 0.7394
Au 0.0000 0.2606 0.7394
Au 0.5212 0.2606 0.2606

## Properties
The value obtained for the total moment is 0.00 μB per atom. The space group is No. 139. As for the crystal system: tetragonal.

=====

Record-wise E_tot values, in eV/cell: -64.87 -34.26